1.
Here is a relaxed Li4CeTm3S8 crystal from Alexandria. Energies are from PBE-GGA.

Lattice parameters (Å, degrees): 7.820 7.645 7.818 120.78 120.01 90.00
Atoms (fractional coordinates):
Li1 0.500 0.000 0.000
Li2 0.500 0.000 0.500
Li3 0.000 0.000 0.000
Li4 0.000 0.000 0.500
Ce1 0.000 0.500 0.000
Tm1 0.500 0.500 0.000
Tm2 0.500 0.500 0.500
Tm3 0.000 0.500 0.500
S1 0.255 0.751 0.996
S2 0.255 0.751 0.511
S3 0.251 0.253 0.502
S4 0.741 0.751 0.996
S5 0.259 0.249 0.004
S6 0.749 0.747 0.498
S7 0.745 0.249 0.489
S8 0.745 0.249 0.004

- Fermi-level density of states: 0.381 states/eV/atom
- SG: No. 166
- DFT total energy: -5.568 eV/atom
- Energy relative to the elements, uncorrected: -1.816 eV per atom

2.
Here is a relaxed Tb6TlAs2Se3 crystal from Alexandria. Energies are from PBE-GGA.

Lattice parameters (Å, degrees): 4.126 8.435 9.332 102.84 102.77 90.00
Atoms (fractional coordinates):
Tb1 0.330 0.906 0.661
Tb2 0.671 0.577 0.341
Tb3 0.670 0.094 0.339
Tb4 0.003 0.262 0.005
Tb5 0.997 0.738 0.995
Tb6 0.329 0.423 0.659
Tl1 0.500 0.000 0.000
As1 0.832 0.665 0.665
As2 0.168 0.335 0.335
Se1 0.500 0.500 0.000
Se2 0.833 0.168 0.666
Se3 0.167 0.832 0.334

- Fermi-level density of states: 0.306 states/eV/atom
- SG: No. 12
- DFT total energy: -5.627 eV/atom
- Energy relative to the elements, uncorrected: -1.468 eV per atom

3.
Here is a relaxed La2ErIn9 crystal from Alexandria. Energies are from PBE-GGA.

Lattice parameters (Å, degrees): 4.742 4.742 14.157 90.00 90.00 90.00
Atoms (fractional coordinates):
La1 0.000 0.000 0.329
La2 0.000 0.000 0.671
Er1 0.000 0.000 0.000
In1 0.500 0.500 0.000
In2 0.500 0.500 0.333
In3 0.500 0.500 0.667
In4 0.500 0.000 0.159
In5 0.500 0.000 0.500
In6 0.500 0.000 0.841
In7 0.000 0.500 0.159
In8 0.000 0.500 0.500
In9 0.000 0.500 0.841

- Fermi-level density of states: 0.574 states/eV/atom
- SG: No. 123
- DFT total energy: -3.708 eV/atom
- Energy of formation from the pure elements: -0.45 eV/atom

4.
Here is a relaxed LiSn2P2 crystal from Alexandria. Energies are from PBE-GGA.

Lattice parameters (Å, degrees): 5.123 5.123 5.768 63.64 63.64 90.00
Atoms (fractional coordinates):
P1 0.750 0.250 0.500
P2 0.250 0.750 0.500
Sn1 0.340 0.340 0.321
Sn2 0.660 0.660 0.679
Li1 0.000 0.000 0.000

- Fermi-level density of states: 0.124 states/eV/atom
- Relative energy among the computed polymorphs: 0.014 eV/atom
- SG: No. 139
- DFT total energy: -4.143 eV/atom
- Energy of formation from the pure elements: 0.01 eV/atom